(1)
VASP calculation (PBE-GGA) on a relaxed ScOsRu2 crystal.

The structure in extended XYZ format:
```
4
Lattice="-0.645 -4.071 -1.625 -0.451 -3.439 2.756 -3.942 -1.969 0.458" Properties=species:S:1:pos:R:3 pbc="T T T"
Sc 0.000 0.000 0.000
Ru -1.259 -2.370 0.397
Ru -3.778 -7.109 1.192
Os -2.519 -4.739 0.795
```

Output
Volume   61 Å³ per cell
Uncorrected energy   -0.329 Ha/atom
Relative energy among the computed polymorphs   0.129 eV/atom

(2)
VASP calculation (PBE-GGA) on a relaxed LaTi2As crystal.

The structure in extended XYZ format:
```
8
Lattice="4.548 0.000 0.000 0.000 4.548 0.000 2.274 2.274 9.552" Properties=species:S:1:pos:R:3 pbc="T T T"
Ti 5.685 4.549 7.164
Ti 2.273 3.411 2.388
Ti 3.411 4.547 7.164
Ti 2.275 1.137 2.388
As 2.274 2.274 0.000
As 2.274 4.548 4.776
La 0.000 0.000 0.000
La 4.548 2.274 4.776
```

Output
Volume   198 Å³ per cell
Uncorrected energy   -0.239 Ha/atom

(3)
VASP calculation (PBE-GGA) on a relaxed TaSbSeBr2 crystal.

The structure in extended XYZ format:
```
5
Lattice="5.194 0.000 0.000 0.000 5.194 0.000 0.000 0.000 5.109" Properties=species:S:1:pos:R:3 pbc="T T T"
Se 0.000 0.000 2.555
Ta 0.000 0.000 0.000
Sb 2.597 2.597 2.555
Br 2.597 0.000 0.000
Br 0.000 2.597 0.000
```

Output
Volume   138 Å³ per cell
Uncorrected energy   -0.161 Ha/atom
Relative energy among the computed polymorphs   0.000 eV/atom
Formation energy (no corrections)   0.90 eV per formula unit

(4)
VASP calculation (PBE-GGA) on a relaxed KBa3Na crystal.

The structure in extended XYZ format:
```
5
Lattice="7.097 0.000 0.000 0.000 7.097 0.000 0.000 0.000 7.097" Properties=species:S:1:pos:R:3 pbc="T T T"
Na 0.000 0.000 0.000
Ba 0.000 3.548 0.000
Ba 3.548 0.000 0.000
Ba 0.000 0.000 3.548
K 3.548 3.548 3.548
```

Output
Volume   357 Å³ per cell
Uncorrected energy   -0.052 Ha/atom
Relative energy among the computed polymorphs   0.000 eV/atom

(5)
VASP calculation (PBE-GGA) on a relaxed LiHPtSe crystal.

The structure in extended XYZ format:
```
8
Lattice="5.958 0.000 -0.001 0.000 2.850 0.000 -4.834 0.000 7.387" Properties=species:S:1:pos:R:3 pbc="T T T"
H -2.825 0.000 4.552
H -0.408 1.425 0.859
Li -3.823 0.000 7.007
Li -1.406 1.425 3.313
Se 0.032 0.000 5.127
Se 2.449 1.425 1.433
Pt 2.032 1.425 4.674
Pt 4.449 0.000 0.980
```

Output
Volume   125 Å³ per cell
Uncorrected energy   -0.149 Ha/atom
Relative energy among the computed polymorphs   0.058 eV/atom

(6)
VASP calculation (PBE-GGA) on a relaxed V4FeRu2 crystal.

The structure in extended XYZ format:
```
7
Lattice="4.196 0.000 0.000 0.000 4.196 0.000 2.098 2.098 6.140" Properties=species:S:1:pos:R:3 pbc="T T T"
Ru 2.098 2.098 1.555
Ru 4.196 4.196 4.585
V 0.000 2.098 0.000
V 4.196 4.196 2.307
V 2.098 0.000 0.000
V 2.098 2.098 3.834
Fe 0.000 0.000 0.000
```

Output
Volume   108 Å³ per cell
Uncorrected energy   -0.310 Ha/atom

(7)
VASP calculation (PBE-GGA) on a relaxed CoIrRu2 crystal.

The structure in extended XYZ format:
```
4
Lattice="-3.695 -0.464 -0.387 0.413 -2.454 -1.002 0.157 -4.496 3.898" Properties=species:S:1:pos:R:3 pbc="T T T"
Ru 0.412 -2.462 -0.981
Ru -1.706 -1.985 0.559
Ir -1.418 -5.425 1.934
Co 0.285 -3.472 1.444
```

Output
Volume   53 Å³ per cell
Uncorrected energy   -0.315 Ha/atom

(8)
VASP calculation (PBE-GGA) on a relaxed BaLa3Ir crystal.

The structure in extended XYZ format:
```
20
Lattice="-2.072 -0.300 7.883 6.971 -9.210 1.481 6.209 4.992 1.822" Properties=species:S:1:pos:R:3 pbc="T T T"
Ba 7.707 -4.232 6.079
Ba 2.151 -1.973 0.495
Ba 3.400 -0.286 5.107
Ba 8.956 -2.545 10.691
La 7.493 -0.752 4.046
La 6.035 -4.894 9.835
La 7.871 -7.853 3.884
La 4.660 -3.609 3.201
La 5.073 0.375 1.351
La 6.827 -8.010 7.823
La 4.420 -6.875 5.115
La 3.615 -3.767 7.140
La 3.236 3.335 7.302
La 6.448 -0.909 7.985
La 4.281 3.492 3.363
La 6.688 2.357 6.071
Ir 2.449 -4.755 4.682
Ir 6.590 -2.109 1.652
Ir 3.104 2.496 0.911
Ir -1.036 -0.150 3.941
```

Output
Volume   776 Å³ per cell
Uncorrected energy   -0.199 Ha/atom
Relative energy among the computed polymorphs   0.010 eV/atom

(9)
VASP calculation (PBE-GGA) on a relaxed SmTmSc2Hg4 crystal.

The structure in extended XYZ format:
```
8
Lattice="-3.518 1.696 3.328 -4.731 -1.984 -0.035 -0.331 -5.961 6.644" Properties=species:S:1:pos:R:3 pbc="T T T"
Hg -5.176 -0.976 2.937
Hg -1.253 -3.725 4.530
Hg -3.404 -5.273 7.001
Hg -7.327 -2.523 5.407
Sc -2.141 -1.573 2.494
Sc -6.439 -4.676 7.443
Tm -4.290 -3.124 4.969
Sm 0.000 0.000 0.000
```

Output
Volume   192 Å³ per cell
Uncorrected energy   -0.122 Ha/atom

(10)
VASP calculation (PBE-GGA) on a relaxed Tb2PbSe4 crystal.

The structure in extended XYZ format:
```
28
Lattice="-0.038 -3.382 2.406 12.043 -2.849 -3.813 5.487 8.010 11.348" Properties=species:S:1:pos:R:3 pbc="T T T"
Tb 7.402 0.979 3.285
Tb 3.294 0.490 6.112
Tb 11.949 -2.598 -1.672
Tb 7.564 -3.491 0.583
Tb 14.197 1.289 3.829
Tb 5.543 4.378 11.613
Tb 9.928 5.271 9.358
Tb 10.090 0.800 6.656
Se 12.794 5.073 9.126
Se 5.362 -0.747 4.405
Se 2.078 1.299 3.649
Se 8.073 2.586 5.554
Se 1.467 -2.201 2.300
Se 9.759 2.440 8.957
Se 16.025 3.980 7.641
Se 9.419 -0.806 4.387
Se 6.978 5.220 9.240
Se 12.130 2.527 5.536
Se 7.732 -0.661 0.984
Se 13.038 -1.334 3.703
Se 4.454 3.113 6.238
Se 15.414 0.481 6.292
Se 10.514 -3.441 0.701
Se 4.698 -3.294 0.815
Pb 6.820 2.118 8.456
Pb 13.675 1.910 8.274
Pb 10.672 -0.338 1.485
Pb 3.817 -0.131 1.667
```

Output
Volume   803 Å³ per cell
Uncorrected energy   -0.196 Ha/atom
Relative energy among the computed polymorphs   0.000 eV/atom
Formation energy (no corrections)   -10.44 eV per formula unit

(11)
VASP calculation (PBE-GGA) on a relaxed CoReSb3 crystal.

The structure in extended XYZ format:
```
5
Lattice="4.845 0.000 0.000 0.000 4.845 0.000 0.000 0.000 4.845" Properties=species:S:1:pos:R:3 pbc="T T T"
Sb 0.000 2.423 0.000
Sb 0.000 0.000 2.423
Sb 2.423 0.000 0.000
Co 0.000 0.000 0.000
Re 2.423 2.423 2.423
```

Output
Volume   114 Å³ per cell
Uncorrected energy   -0.193 Ha/atom
Relative energy among the computed polymorphs   0.000 eV/atom
Formation energy (no corrections)   5.60 eV per formula unit

(12)
VASP calculation (PBE-GGA) on a relaxed Zn2InRu crystal.

The structure in extended XYZ format:
```
4
Lattice="-0.794 1.648 4.187 -2.347 -1.827 0.274 2.898 -3.430 1.899" Properties=species:S:1:pos:R:3 pbc="T T T"
In -0.259 -0.490 2.637
Zn 2.756 -3.369 1.849
Zn 0.417 -2.688 1.137
Ru 0.016 -3.118 3.724
```

Output
Volume   67 Å³ per cell
Uncorrected energy   -0.129 Ha/atom

Magnetization for the records above, in order: 1.6, 0.0, 2.6, 0.0, 0.0, 0.1, 1.0, 0.0, 0.8, 0.0, 2.1, 0.4 Bohr magnetons per cell